[1]
## CeMg2H7 (PBEsol)

Data for a relaxed CeMg2H7 crystal.

DFT total energy: -3.631 eV per atom
volume: 8.87 Å³/atom
crystal system: tetragonal

Cell: 6.194 6.194 9.253 Å, 90.00 90.00 90.00°
Fractional positions:
Ce 0.230 0.230 0.000
Ce 0.270 0.730 0.250
Ce 0.730 0.270 0.750
Ce 0.770 0.770 0.500
Mg 0.026 0.738 0.900
Mg 0.238 0.474 0.650
Mg 0.262 0.974 0.600
Mg 0.474 0.238 0.350
Mg 0.526 0.762 0.850
Mg 0.738 0.026 0.100
Mg 0.762 0.526 0.150
Mg 0.974 0.262 0.400
H 0.036 0.959 0.379
H 0.041 0.964 0.121
H 0.060 0.420 0.823
H 0.080 0.560 0.073
H 0.152 0.693 0.498
H 0.193 0.348 0.248
H 0.242 0.758 0.750
H 0.258 0.258 0.500
H 0.307 0.848 0.002
H 0.348 0.193 0.752
H 0.420 0.060 0.177
H 0.440 0.920 0.427
H 0.459 0.464 0.129
H 0.464 0.459 0.871
H 0.536 0.541 0.371
H 0.541 0.536 0.629
H 0.560 0.080 0.927
H 0.580 0.940 0.677
H 0.652 0.807 0.252
H 0.693 0.152 0.502
H 0.742 0.742 0.000
H 0.758 0.242 0.250
H 0.807 0.652 0.748
H 0.848 0.307 0.998
H 0.920 0.440 0.573
H 0.940 0.580 0.323
H 0.959 0.036 0.621
H 0.964 0.041 0.879

=====

[2]
## CdP3 (PBEsol)

Data for a relaxed CdP3 crystal.

volume: 16.73 Å³/atom
excess energy over the best structure of this formula in the dataset: 0.724 eV per atom
E_form: 0.710 eV/atom
crystal system: cubic

Cell: 5.116 5.116 5.116 Å, 90.00 90.00 90.00°
Fractional positions:
Cd 0.000 0.000 0.000
Cd 0.500 0.500 0.500
P 0.000 0.250 0.500
P 0.000 0.750 0.500
P 0.250 0.500 0.000
P 0.500 0.000 0.250
P 0.500 0.000 0.750
P 0.750 0.500 0.000

=====

[3]
## ScTa2Cl (PBEsol)

Data for a relaxed ScTa2Cl crystal.

volume: 21.44 Å³/atom
excess energy over the best structure of this formula in the dataset: 0.051 eV per atom
crystal system: tetragonal

Cell: 3.286 3.286 7.944 Å, 90.00 90.00 90.00°
Fractional positions:
Sc 0.000 0.000 0.000
Ta 0.000 0.000 0.399
Ta 0.500 0.500 0.225
Cl 0.500 0.500 0.830

=====

[4]
## MgMnBi2N (PBEsol)

Data for a relaxed MgMnBi2N crystal.

DFT total energy: -4.491 eV per atom
volume: 23.47 Å³/atom
crystal system: tetragonal

Cell: 4.883 4.883 4.920 Å, 90.00 90.00 90.00°
Fractional positions:
Mg 0.000 0.000 0.000
Mn 0.000 0.000 0.500
Bi 0.000 0.500 0.500
Bi 0.500 0.000 0.500
N 0.500 0.500 0.000